[1]
A geometry-optimized CdAu2 structure, computed with PBE.

Cell: 5.650 5.650 6.956 Å, 104.94 104.94 32.06°
Sites, in units of the cell vectors:
Cd 0.000 0.000 0.000
Cd 0.677 0.677 0.351
Au 0.285 0.285 0.078
Au 0.342 0.342 0.676
Au 0.625 0.625 0.743
Au 0.960 0.960 0.405

Values from the calculation:
As for the symmetry: Cm (8). Its density is 14.81 g/cm3. As for the total magnetic moment: 0.0 μB/f.u. The formation energy comes out at -106 meV/atom. Its density of states at the Fermi level is 0.73 states/eV/f.u.

[2]
A geometry-optimized Cd7Au5 structure, computed with PBE.

Cell: 4.641 4.641 13.461 Å, 101.32 101.32 64.70°
Sites, in units of the cell vectors:
Cd 0.000 0.000 0.000
Cd 0.131 0.131 0.723
Cd 0.364 0.364 0.155
Cd 0.379 0.379 0.578
Cd 0.621 0.621 0.422
Cd 0.636 0.636 0.845
Cd 0.869 0.869 0.277
Au 0.000 0.000 0.500
Au 0.246 0.246 0.347
Au 0.324 0.324 0.928
Au 0.676 0.676 0.072
Au 0.754 0.754 0.653

Values from the calculation:
As for the symmetry: C2/m (12). Its density is 11.54 g/cm3. As for the total magnetic moment: 0.0 μB/f.u. The formation energy comes out at -139 meV/atom. Its density of states at the Fermi level is 3.17 states/eV/f.u.

[3]
A geometry-optimized Cd4Au structure, computed with PBE.

Cell: 7.962 7.962 7.962 Å, 151.14 151.14 41.27°
Sites, in units of the cell vectors:
Cd 0.092 0.092 0.000
Cd 0.250 0.750 0.500
Cd 0.750 0.250 0.500
Cd 0.908 0.908 0.000
Au 0.500 0.500 0.000

Values from the calculation:
As for the symmetry: I4/mmm (139). Its density is 9.15 g/cm3. As for the total magnetic moment: 0.0 μB/f.u. The formation energy comes out at 127 meV/atom. Its density of states at the Fermi level is 2.61 states/eV/f.u.

[4]
A geometry-optimized Cd7Au structure, computed with PBE.

Cell: 9.639 9.639 9.639 Å, 153.88 153.88 37.27°
Sites, in units of the cell vectors:
Cd 0.000 0.000 0.000
Cd 0.121 0.621 0.500
Cd 0.248 0.248 0.000
Cd 0.379 0.879 0.500
Cd 0.621 0.121 0.500
Cd 0.752 0.752 0.000
Cd 0.879 0.379 0.500
Au 0.500 0.500 0.000

Values from the calculation:
As for the symmetry: I4/mmm (139). Its density is 9.43 g/cm3. As for the total magnetic moment: 0.0 μB/f.u. The formation energy comes out at -26 meV/atom. Its density of states at the Fermi level is 2.88 states/eV/f.u.

[5]
A geometry-optimized CdAu3 structure, computed with PBE.

Cell: 5.663 5.663 5.663 Å, 148.48 62.54 127.50°
Sites, in units of the cell vectors:
Cd 0.000 0.000 0.000
Au 0.399 0.648 0.751
Au 0.497 0.997 0.500
Au 0.897 0.648 0.249

Values from the calculation:
As for the symmetry: Imm2 (44). Its density is 15.65 g/cm3. As for the total magnetic moment: 0.0 μB/f.u. The formation energy comes out at -101 meV/atom. Its density of states at the Fermi level is 1.13 states/eV/f.u.

[6]
A geometry-optimized CdAu5 structure, computed with PBE.

Cell: 5.098 5.098 4.917 Å, 90.00 90.00 120.00°
Sites, in units of the cell vectors:
Cd 0.000 0.000 0.000
Au 0.000 0.665 0.500
Au 0.333 0.667 0.000
Au 0.335 0.335 0.500
Au 0.665 0.000 0.500
Au 0.667 0.333 0.000

Values from the calculation:
As for the symmetry: P-62m (189). Its density is 16.46 g/cm3. As for the total magnetic moment: 0.0 μB/f.u. The formation energy comes out at -73 meV/atom. Its density of states at the Fermi level is 2.90 states/eV/f.u.

[7]
A geometry-optimized Cd5Au2 structure, computed with PBE.

Cell: 7.384 7.384 8.005 Å, 97.61 97.61 42.59°
Sites, in units of the cell vectors:
Cd 0.048 0.712 0.054
Cd 0.145 0.416 0.680
Cd 0.236 0.764 0.750
Cd 0.288 0.952 0.446
Cd 0.416 0.145 0.180
Cd 0.584 0.855 0.820
Cd 0.712 0.048 0.554
Cd 0.764 0.236 0.250
Cd 0.855 0.584 0.320
Cd 0.952 0.288 0.946
Au 0.242 0.584 0.409
Au 0.416 0.758 0.091
Au 0.584 0.242 0.909
Au 0.758 0.416 0.591

Values from the calculation:
As for the symmetry: C2/c (15). Its density is 10.86 g/cm3. As for the total magnetic moment: 0.0 μB/f.u. The formation energy comes out at -124 meV/atom. Its density of states at the Fermi level is 1.50 states/eV/f.u.

[8]
A geometry-optimized CdAu5 structure, computed with PBE.

Cell: 5.753 5.753 6.987 Å, 104.36 104.36 29.61°
Sites, in units of the cell vectors:
Cd 0.000 0.000 0.000
Au 0.276 0.276 0.055
Au 0.335 0.335 0.669
Au 0.611 0.611 0.720
Au 0.667 0.667 0.335
Au 0.944 0.944 0.387

Values from the calculation:
As for the symmetry: Cm (8). Its density is 16.50 g/cm3. As for the total magnetic moment: 0.0 μB/f.u. The formation energy comes out at -69 meV/atom. Its density of states at the Fermi level is 0.83 states/eV/f.u.

[9]
A geometry-optimized CdAu3 structure, computed with PBE.

Cell: 5.069 5.069 3.052 Å, 90.00 90.00 108.19°
Sites, in units of the cell vectors:
Cd 0.000 0.000 0.000
Au 0.000 0.500 0.500
Au 0.500 0.000 0.500
Au 0.500 0.500 0.000

Values from the calculation:
As for the symmetry: Cmmm (65). Its density is 15.68 g/cm3. As for the total magnetic moment: 0.0 μB/f.u. The formation energy comes out at -89 meV/atom. Its density of states at the Fermi level is 1.54 states/eV/f.u.

[10]
A geometry-optimized Cd4Au structure, computed with PBE.

Cell: 13.132 13.132 13.132 Å, 13.45 13.45 13.45°
Sites, in units of the cell vectors:
Cd 0.105 0.105 0.105
Cd 0.298 0.298 0.298
Cd 0.702 0.702 0.702
Cd 0.895 0.895 0.895
Au 0.500 0.500 0.500

Values from the calculation:
As for the symmetry: R-3m (166). Its density is 10.07 g/cm3. As for the total magnetic moment: 0.0 μB/f.u. The formation energy comes out at -24 meV/atom. Its density of states at the Fermi level is 1.67 states/eV/f.u.

[11]
A geometry-optimized CdAu4 structure, computed with PBE.

Cell: 10.614 10.614 10.614 Å, 163.84 163.84 22.93°
Sites, in units of the cell vectors:
Cd 0.000 0.000 0.000
Au 0.201 0.201 0.000
Au 0.399 0.399 0.000
Au 0.601 0.601 0.000
Au 0.799 0.799 0.000

Values from the calculation:
As for the symmetry: I4/mmm (139). Its density is 16.14 g/cm3. As for the total magnetic moment: 0.0 μB/f.u. The formation energy comes out at -57 meV/atom. Its density of states at the Fermi level is 1.63 states/eV/f.u.

[12]
A geometry-optimized CdAu3 structure, computed with PBE.

Cell: 4.202 4.202 4.216 Å, 90.00 90.00 90.00°
Sites, in units of the cell vectors:
Cd 0.000 0.000 0.000
Au 0.000 0.500 0.500
Au 0.500 0.000 0.500
Au 0.500 0.500 0.000

Values from the calculation:
As for the symmetry: P4/mmm (123). Its density is 15.69 g/cm3. As for the total magnetic moment: 0.0 μB/f.u. The formation energy comes out at -118 meV/atom. Its density of states at the Fermi level is 1.20 states/eV/f.u.